Entry 1:
A plane-wave DFT calculation with GGA-PBE was carried out for a geometry-optimized MgGaNi2 structure.

Total moment (μB per formula unit): 0.00
D(E_F) (states/eV per cell): 3.17

Cell and atoms, written as POSCAR:
```
MgGaNi2
1.0
4.123 -0.603 -0.385
2.568 3.282 -0.385
2.567 1.028 3.140
Ni Mg Ga
2 1 1
Cartesian
4.629 1.853 1.184 Ni
0.000 0.000 0.000 Ni
2.315 0.927 0.592 Mg
6.944 2.780 1.777 Ga
```

Entry 2:
A plane-wave DFT calculation with GGA-PBE was carried out for a geometry-optimized Mg2Ga6Ni structure.

Total moment (μB per formula unit): 0.00
D(E_F) (states/eV per cell): 2.47

Cell and atoms, written as POSCAR:
```
Mg2Ga6Ni
1.0
5.230 0.000 0.000
-2.615 4.957 0.706
0.000 -0.357 6.065
Mg Ga Ni
2 6 1
Cartesian
2.615 1.478 0.844 Mg
0.000 3.122 5.927 Mg
3.911 0.771 4.228 Ga
2.615 3.152 4.769 Ga
1.319 0.771 4.228 Ga
-1.296 3.829 2.543 Ga
0.000 1.448 2.002 Ga
1.296 3.829 2.543 Ga
0.000 0.000 0.000 Ni
```

Entry 3:
A plane-wave DFT calculation with GGA-PBE was carried out for a geometry-optimized Mg4GaNi structure.

Total moment (μB per formula unit): 0.00
D(E_F) (states/eV per cell): 4.75

Cell and atoms, written as POSCAR:
```
Mg4GaNi
1.0
-2.606 -3.994 -1.960
4.055 -2.749 5.968
-5.374 4.581 1.713
Mg Ga Ni
8 2 2
Cartesian
-3.831 3.093 2.624 Mg
-2.642 -2.079 3.841 Mg
-2.756 0.957 4.663 Mg
-0.666 -1.091 5.991 Mg
-3.259 -1.071 -0.270 Mg
-1.169 -3.119 1.057 Mg
-1.283 -0.083 1.880 Mg
-0.094 -5.255 3.097 Mg
0.183 -2.063 3.447 Ga
-4.108 -0.099 2.273 Ga
-1.946 0.827 7.171 Ni
-1.979 -2.989 -1.450 Ni
```

Entry 4:
A plane-wave DFT calculation with GGA-PBE was carried out for a geometry-optimized MgGa2Ni structure.

Total moment (μB per formula unit): 0.00
D(E_F) (states/eV per cell): 1.34

Cell and atoms, written as POSCAR:
```
MgGa2Ni
1.0
-2.929 0.622 -1.950
-1.065 -2.387 -2.436
-4.983 -3.583 3.070
Mg Ga Ni
1 2 1
Cartesian
-4.466 -2.656 -0.686 Mg
-4.281 -3.008 2.199 Ga
-2.031 -1.162 -0.594 Ga
-2.689 -1.198 -2.892 Ni
```

Entry 5:
A plane-wave DFT calculation with GGA-PBE was carried out for a geometry-optimized Mg3Ga3Ni2 structure.

Total moment (μB per formula unit): 0.00
D(E_F) (states/eV per cell): 7.33

Cell and atoms, written as POSCAR:
```
Mg3Ga3Ni2
1.0
-3.665 -0.774 1.669
3.941 -2.406 2.502
1.422 10.771 8.118
Mg Ga Ni
6 6 4
Cartesian
0.523 1.417 6.845 Mg
1.570 9.171 7.703 Mg
0.127 -1.580 4.586 Mg
1.175 6.174 5.444 Mg
-0.877 1.510 3.814 Mg
2.574 6.081 8.475 Mg
-0.620 3.855 5.466 Ga
2.921 8.307 10.269 Ga
-1.223 -0.716 2.020 Ga
2.318 3.736 6.824 Ga
1.837 0.730 4.374 Ga
-0.139 6.861 7.915 Ga
0.654 7.631 10.014 Ni
1.453 3.060 4.611 Ni
0.245 4.531 7.678 Ni
1.044 -0.040 2.275 Ni
```

Entry 6:
A plane-wave DFT calculation with GGA-PBE was carried out for a geometry-optimized Mg2Ga4Ni3 structure.

Total moment (μB per formula unit): 0.00
D(E_F) (states/eV per cell): 5.67

Cell and atoms, written as POSCAR:
```
Mg2Ga4Ni3
1.0
-2.847 -3.552 2.139
4.976 -0.730 -0.052
-0.590 4.992 4.323
Mg Ga Ni
2 4 3
Cartesian
1.174 -1.484 2.279 Mg
0.365 2.195 4.130 Mg
2.937 2.870 2.893 Ga
-2.296 0.983 4.359 Ga
-1.398 -2.160 3.516 Ga
3.835 -0.273 2.051 Ga
-1.424 -1.776 1.070 Ni
0.000 0.000 0.000 Ni
2.488 -0.365 -0.026 Ni
```

Entry 7:
A plane-wave DFT calculation with GGA-PBE was carried out for a geometry-optimized MgGaNi14 structure.

Total moment (μB per formula unit): 6.50
D(E_F) (states/eV per cell): 25.09

Cell and atoms, written as POSCAR:
```
MgGaNi14
1.0
-4.578 0.474 -1.996
0.702 -3.364 3.655
-1.856 5.710 5.612
Mg Ga Ni
1 1 14
Cartesian
-0.472 -0.331 6.198 Mg
-3.119 1.594 3.365 Ga
-0.382 -2.576 2.494 Ni
-3.022 -0.657 -0.331 Ni
-0.814 1.352 4.373 Ni
-0.736 -0.900 0.673 Ni
-2.761 -0.100 5.206 Ni
-2.663 -2.337 1.497 Ni
-3.043 4.068 3.952 Ni
-2.093 1.146 1.080 Ni
-4.963 2.636 4.774 Ni
-4.014 -0.286 1.902 Ni
-2.660 2.350 5.755 Ni
-1.733 -0.504 2.949 Ni
-5.309 4.302 2.966 Ni
-4.359 1.379 0.093 Ni
```

Entry 8:
A plane-wave DFT calculation with GGA-PBE was carried out for a geometry-optimized Mg11Ga9Ni4 structure.

Total moment (μB per formula unit): 0.00
D(E_F) (states/eV per cell): 8.48

Cell and atoms, written as POSCAR:
```
Mg11Ga9Ni4
1.0
3.905 0.000 0.000
0.000 9.977 -4.152
0.000 0.103 10.806
Mg Ga Ni
11 9 4
Cartesian
0.000 5.931 7.489 Mg
0.000 4.149 -0.835 Mg
0.000 9.217 2.510 Mg
0.000 0.863 4.144 Mg
0.000 6.316 1.393 Mg
0.000 3.764 5.261 Mg
0.000 8.284 -1.587 Mg
0.000 1.796 8.241 Mg
0.000 0.000 0.000 Mg
0.000 7.045 4.651 Mg
0.000 3.035 2.003 Mg
1.952 6.189 -0.952 Ga
1.952 3.891 7.606 Ga
1.952 1.557 6.065 Ga
1.952 8.523 0.589 Ga
1.952 7.875 6.846 Ga
1.952 2.205 -0.192 Ga
1.952 9.390 4.551 Ga
1.952 0.690 2.103 Ga
1.952 5.040 3.327 Ga
1.952 5.584 5.701 Ni
1.952 4.496 0.953 Ni
1.952 7.437 2.894 Ni
1.952 2.643 3.760 Ni
```

Entry 9:
A plane-wave DFT calculation with GGA-PBE was carried out for a geometry-optimized MgGa5Ni3 structure.

Total moment (μB per formula unit): 0.00
D(E_F) (states/eV per cell): 6.38

Cell and atoms, written as POSCAR:
```
MgGa5Ni3
1.0
-4.797 2.133 -3.341
2.546 -2.279 -5.200
-5.391 -6.855 -5.024
Mg Ga Ni
2 10 6
Cartesian
-4.062 -5.163 -3.789 Mg
-3.580 -1.839 -9.775 Mg
-5.295 -1.238 -6.961 Ga
0.604 -1.112 -4.708 Ga
-1.990 -0.701 -6.195 Ga
-3.034 -2.940 -5.005 Ga
-4.608 -4.061 -8.560 Ga
-5.652 -6.301 -7.369 Ga
-1.382 -3.589 -7.952 Ga
-2.855 0.966 -3.832 Ga
-2.347 -5.764 -6.603 Ga
-6.260 -3.412 -5.612 Ga
-5.963 -5.807 -9.771 Ni
-3.304 -2.411 -7.327 Ni
0.000 0.000 0.000 Ni
-2.696 -3.428 -2.512 Ni
-1.678 -1.195 -3.793 Ni
-4.337 -4.590 -6.237 Ni
```

Entry 10:
A plane-wave DFT calculation with GGA-PBE was carried out for a geometry-optimized MgGa4Ni15 structure.

Total moment (μB per formula unit): 4.45
D(E_F) (states/eV per cell): 18.54

Cell and atoms, written as POSCAR:
```
MgGa4Ni15
1.0
-1.288 -2.392 2.355
3.276 -1.444 0.325
3.650 11.315 13.486
Mg Ga Ni
1 4 15
Cartesian
0.000 0.000 0.000 Mg
0.738 2.289 2.728 Ga
1.462 4.534 5.404 Ga
2.188 6.781 8.083 Ga
2.912 9.026 10.758 Ga
0.994 -1.918 1.340 Ni
1.733 0.371 4.068 Ni
2.457 2.616 6.745 Ni
3.181 4.863 9.422 Ni
3.906 7.108 12.098 Ni
-0.264 -0.018 2.582 Ni
0.455 2.212 5.240 Ni
1.181 4.462 7.921 Ni
1.907 6.711 10.602 Ni
2.626 8.941 13.260 Ni
2.018 0.456 1.567 Ni
2.738 2.686 4.225 Ni
3.463 4.935 6.906 Ni
4.189 7.185 9.587 Ni
4.908 9.415 12.245 Ni
```

Entry 11:
A plane-wave DFT calculation with GGA-PBE was carried out for a geometry-optimized MgGaNi3 structure.

Total moment (μB per formula unit): 0.00
D(E_F) (states/eV per cell): 4.87

Cell and atoms, written as POSCAR:
```
MgGaNi3
1.0
-4.194 0.952 0.292
-0.983 -3.750 -1.885
-0.163 -1.900 3.866
Ni Mg Ga
3 1 1
Cartesian
-0.491 -1.875 -0.942 Ni
-0.081 -0.950 1.933 Ni
-2.097 0.476 0.146 Ni
0.000 0.000 0.000 Mg
-2.670 -2.349 1.137 Ga
```

Entry 12:
A plane-wave DFT calculation with GGA-PBE was carried out for a geometry-optimized MgGa9Ni3 structure.

Total moment (μB per formula unit): 0.00
D(E_F) (states/eV per cell): 5.22

Cell and atoms, written as POSCAR:
```
MgGa9Ni3
1.0
-3.697 -2.804 2.178
0.804 -0.096 6.613
-5.445 3.736 1.601
Mg Ga Ni
1 9 3
Cartesian
0.000 0.000 0.000 Mg
-6.199 0.889 8.008 Ga
-2.139 -0.053 2.383 Ga
-6.014 1.441 3.761 Ga
-2.323 -0.605 6.631 Ga
-4.100 -0.548 4.203 Ga
-4.237 1.384 6.188 Ga
-5.047 -1.503 7.129 Ga
-3.290 2.338 3.262 Ga
0.402 -0.048 3.306 Ga
-1.446 -1.450 4.395 Ni
-2.722 1.868 0.801 Ni
-4.571 0.466 1.890 Ni
```

Entry 13:
A plane-wave DFT calculation with GGA-PBE was carried out for a geometry-optimized MgGa2Ni2 structure.

Total moment (μB per formula unit): 0.00
D(E_F) (states/eV per cell): 2.14

Cell and atoms, written as POSCAR:
```
MgGa2Ni2
1.0
3.797 0.000 0.000
0.000 3.797 0.000
1.899 1.899 5.350
Ni Mg Ga
2 1 2
Cartesian
3.797 1.899 2.675 Ni
1.899 3.797 2.675 Ni
0.000 0.000 0.000 Mg
1.899 1.899 1.240 Ga
3.797 3.797 4.110 Ga
```

Entry 14:
A plane-wave DFT calculation with GGA-PBE was carried out for a geometry-optimized Mg3Ga8Ni3 structure.

Total moment (μB per formula unit): 0.00
D(E_F) (states/eV per cell): 6.07

Cell and atoms, written as POSCAR:
```
Mg3Ga8Ni3
1.0
3.907 0.000 1.070
1.623 7.473 1.742
-0.047 -0.126 7.842
Mg Ga Ni
3 8 3
Cartesian
2.741 3.673 5.327 Mg
3.494 1.304 2.581 Mg
1.989 6.043 8.074 Mg
2.534 0.487 6.086 Ga
2.949 6.859 4.568 Ga
3.531 5.026 2.444 Ga
1.952 2.321 8.211 Ga
4.567 5.767 6.329 Ga
0.916 1.580 4.326 Ga
4.128 3.769 7.933 Ga
1.355 3.578 2.722 Ga
1.954 0.000 0.535 Ni
1.322 6.106 2.840 Ni
0.253 1.241 6.745 Ni
```

Entry 15:
A plane-wave DFT calculation with GGA-PBE was carried out for a geometry-optimized Mg2Ga6Ni structure.

Total moment (μB per formula unit): 0.00
D(E_F) (states/eV per cell): 3.30

Cell and atoms, written as POSCAR:
```
Mg2Ga6Ni
1.0
-1.166 3.226 2.257
-4.504 -3.907 3.257
6.647 0.312 2.480
Mg Ga Ni
2 6 1
Cartesian
-1.193 -0.933 4.317 Mg
2.170 0.564 3.677 Mg
0.373 -1.279 1.955 Ga
3.218 3.177 4.149 Ga
0.604 0.910 6.039 Ga
-1.590 0.740 1.856 Ga
-2.241 -3.547 3.845 Ga
-4.080 -1.421 3.657 Ga
0.000 0.000 0.000 Ni
```

Entry 16:
A plane-wave DFT calculation with GGA-PBE was carried out for a geometry-optimized Mg3Ga3Ni structure.

Total moment (μB per formula unit): 0.00
D(E_F) (states/eV per cell): 5.91

Cell and atoms, written as POSCAR:
```
Mg3Ga3Ni
1.0
-2.461 1.382 -2.794
1.155 -1.936 -4.798
-9.025 -9.777 0.289
Mg Ga Ni
6 6 2
Cartesian
-6.454 -5.985 -2.923 Mg
-3.877 -4.346 -4.381 Mg
-2.517 -2.502 -1.844 Mg
-7.814 -7.829 -5.460 Mg
-8.913 -8.997 -2.248 Mg
-1.419 -1.333 -5.056 Mg
-6.068 -5.545 -5.867 Ga
-4.263 -4.786 -1.436 Ga
-7.630 -10.493 -4.118 Ga
-2.702 0.163 -3.186 Ga
-3.586 -2.557 -6.575 Ga
-6.745 -7.774 -0.728 Ga
-5.278 -2.880 -2.423 Ni
-5.053 -7.450 -4.881 Ni
```

Entry 17:
A plane-wave DFT calculation with GGA-PBE was carried out for a geometry-optimized MgGa2Ni structure.

Total moment (μB per formula unit): 0.00
D(E_F) (states/eV per cell): 2.40

Cell and atoms, written as POSCAR:
```
MgGa2Ni
1.0
3.016 0.000 0.000
1.508 2.612 0.000
1.508 0.871 8.228
Ni Mg Ga
1 1 2
Cartesian
0.000 0.000 0.000 Ni
3.016 1.741 4.114 Mg
1.508 0.871 1.774 Ga
4.523 2.612 6.454 Ga
```

Entry 18:
A plane-wave DFT calculation with GGA-PBE was carried out for a geometry-optimized MgGa2Ni structure.

Total moment (μB per formula unit): 0.00
D(E_F) (states/eV per cell): 6.76

Cell and atoms, written as POSCAR:
```
MgGa2Ni
1.0
5.023 0.000 0.000
0.000 7.186 0.000
0.000 0.000 13.988
Mg Ga Ni
8 16 8
Cartesian
2.324 1.796 1.929 Mg
4.835 5.389 5.065 Mg
2.699 5.389 12.059 Mg
0.188 1.796 8.923 Mg
3.767 1.796 5.474 Mg
1.255 5.389 1.520 Mg
1.256 5.389 8.514 Mg
3.768 1.796 12.468 Mg
4.815 0.361 2.974 Ga
2.303 6.825 4.020 Ga
0.208 3.954 11.014 Ga
2.720 3.232 9.968 Ga
0.208 6.825 11.014 Ga
2.720 0.361 9.968 Ga
4.815 3.232 2.974 Ga
2.303 3.954 4.020 Ga
3.750 3.982 0.496 Ga
1.239 3.203 6.498 Ga
1.273 0.389 13.492 Ga
3.784 6.796 7.490 Ga
1.273 3.203 13.492 Ga
3.784 3.982 7.490 Ga
3.750 6.796 0.496 Ga
1.239 0.389 6.498 Ga
1.187 1.796 4.388 Ni
3.699 5.389 2.606 Ni
3.836 5.389 9.600 Ni
1.325 1.796 11.382 Ni
4.853 1.796 0.976 Ni
2.341 5.389 6.018 Ni
0.171 5.389 13.012 Ni
2.682 1.796 7.970 Ni
```

Entry 19:
A plane-wave DFT calculation with GGA-PBE was carried out for a geometry-optimized Mg2Ga3Ni structure.

Total moment (μB per formula unit): 0.00
D(E_F) (states/eV per cell): 1.72

Cell and atoms, written as POSCAR:
```
Mg2Ga3Ni
1.0
3.161 0.000 0.000
0.000 4.336 0.000
0.000 0.000 7.475
Mg Ga Ni
2 3 1
Cartesian
0.000 2.168 0.208 Mg
0.000 0.000 3.601 Mg
1.581 0.000 6.226 Ga
1.581 0.000 1.323 Ga
1.581 2.168 4.870 Ga
1.581 2.168 2.461 Ni
```

Entry 20:
A plane-wave DFT calculation with GGA-PBE was carried out for a geometry-optimized MgGa2Ni structure.

Total moment (μB per formula unit): 0.00
D(E_F) (states/eV per cell): 1.84

Cell and atoms, written as POSCAR:
```
MgGa2Ni
1.0
2.908 0.000 0.000
0.000 2.908 0.000
0.000 0.000 7.360
Ni Mg Ga
1 1 2
Cartesian
1.454 1.454 0.000 Ni
1.454 1.454 3.680 Mg
0.000 0.000 5.850 Ga
0.000 0.000 1.510 Ga
```

| no. | total DFT energy (no corrections) (eV per atom) | calculated formation energy (meV/atom) |
| --- | --- | --- |
| 1 | -4.381 | -334.7 |
| 2 | -3.147 | -131.9 |
| 3 | -2.677 | -145.5 |
| 4 | -3.416 | -58.5 |
| 5 | -3.460 | -281.2 |
| 6 | -3.936 | -309.6 |
| 7 | -5.395 | -47.4 |
| 8 | -3.038 | -208.7 |
| 9 | -3.993 | -206.9 |
| 10 | -5.265 | -244.4 |
| 11 | -3.426 | 967.3 |
| 12 | -3.719 | -166.6 |
| 13 | -4.057 | -215.1 |
| 14 | -3.539 | -228.8 |
| 15 | -3.122 | -107.2 |
| 16 | -3.031 | -224.0 |
| 17 | -3.500 | -142.5 |
| 18 | -3.696 | -338.3 |
| 19 | -3.204 | -195.4 |
| 20 | -3.574 | -216.2 |